1.
VASP calculation (PBE) on a geometry-optimized La2ReGe structure.

Size of the total moment: 0.00 μB/cell
N(E_F): 4.95 states/eV/f.u.
Space group: No. 122

Unit cell a=8.4356 b=8.4356 c=6.6276 alpha=50.48 beta=50.48 gamma=90.00
Element x y z (fractional)
Re 0.0000 0.0000 0.0000
Re 0.7500 0.2500 0.5000
Ge 0.5000 0.5000 0.0000
Ge 0.2500 0.7500 0.5000
La 0.6848 0.1250 0.2500
La 0.0652 0.6250 0.2500
La 0.3750 0.3152 0.7500
La 0.8750 0.9348 0.7500

=====

2.
VASP calculation (PBE) on a geometry-optimized LaReGe3 structure.

Size of the total moment: 0.00 μB/cell
N(E_F): 5.97 states/eV/f.u.
Space group: No. 221

Unit cell a=4.8624 b=4.8624 c=4.8624 alpha=90.00 beta=90.00 gamma=90.00
Element x y z (fractional)
Re 0.0000 0.0000 0.0000
Ge 0.0000 0.5000 0.0000
Ge 0.0000 0.0000 0.5000
Ge 0.5000 0.0000 0.0000
La 0.5000 0.5000 0.5000

=====

3.
VASP calculation (PBE) on a geometry-optimized LaRe4Ge12 structure.

Size of the total moment: 0.00 μB/cell
N(E_F): 17.24 states/eV/f.u.
Space group: No. 204

Unit cell a=7.6894 b=7.6894 c=7.6894 alpha=109.47 beta=109.47 gamma=109.47
Element x y z (fractional)
La 0.0000 0.0000 0.0000
Re 0.0000 0.5000 0.0000
Re 0.5000 0.0000 0.0000
Re 0.5000 0.5000 0.5000
Re 0.0000 0.0000 0.5000
Ge 0.8385 0.3400 0.1785
Ge 0.3400 0.5014 0.1615
Ge 0.8215 0.1615 0.6600
Ge 0.3400 0.1785 0.8385
Ge 0.1785 0.8385 0.3400
Ge 0.6600 0.4986 0.8385
Ge 0.5014 0.1615 0.3400
Ge 0.4986 0.8385 0.6600
Ge 0.6600 0.8215 0.1615
Ge 0.8385 0.6600 0.4986
Ge 0.1615 0.3400 0.5014
Ge 0.1615 0.6600 0.8215

=====

4.
VASP calculation (PBE) on a geometry-optimized La2GeRh2 structure.

Size of the total moment: 0.00 μB/cell
N(E_F): 3.34 states/eV/f.u.
Space group: No. 139

Unit cell a=5.6570 b=5.6570 c=5.5343 alpha=59.26 beta=59.26 gamma=90.00
Element x y z (fractional)
Ge 0.0000 0.0000 0.0000
Rh 0.3206 0.3206 0.3587
Rh 0.6794 0.6794 0.6413
La 0.7500 0.2500 0.5000
La 0.2500 0.7500 0.5000

=====

Mass density, record by record: 8.7 7.8 8.3 7.5 g cm⁻³
E_form, record by record: 0.296 -0.013 0.277 -0.635 eV/atom